YSb2AuC | PBE | optimized geometry

a b c (Å): 4.7659 4.7659 4.7716
angles (deg): 90.00 90.00 90.00
Sites, in units of the cell vectors:
Y 0.0000 0.0000 0.0000
Sb 0.0000 0.5000 0.5000
Sb 0.5000 0.0000 0.5000
Au 0.5000 0.5000 0.0000
C 0.0000 0.0000 0.5000

Calculated values
* uncorrected formation energy: 0.2217 eV/atom